MnCuO (PBE with a Hubbard U, relaxed); VASP energy = -36.8 eV/cell; SG = C2/m, No. 12
1.0
3.152 0.000 0.000
-1.576 3.407 0.095
0.000 -1.264 7.509
O Mn Cu
2 2 2
Direct
0.328 0.657 0.360 O
0.672 0.343 0.640 O
0.626 0.251 0.340 Mn
0.374 0.749 0.660 Mn
0.864 0.728 0.077 Cu
0.136 0.272 0.923 Cu